Record 1
Computed, not measured: CaSm7Tl2 after structural relaxation at the PBE-GGA level of DFT.

- total energy (eV/cell) = -36.31
- V (Å³/cell) = 416.5
- SG = Cmmm, No. 65

abc: 9.094 9.094 5.745
angles: 90.00 90.00 118.78
Fractional coordinates of all 10 atoms:
Ca 0.000 0.000 0.000
Sm 0.055 0.306 0.500
Sm 0.245 0.755 0.000
Sm 0.306 0.055 0.500
Sm 0.500 0.500 0.500
Sm 0.694 0.945 0.500
Sm 0.755 0.245 0.000
Sm 0.945 0.694 0.500
Tl 0.305 0.695 0.500
Tl 0.695 0.305 0.500

***

Record 2
Computed, not measured: Ta3InRh after structural relaxation at the PBE-GGA level of DFT.

- total energy (eV/cell) = -41.00
- V (Å³/cell) = 112.3
- SG = Pm-3m, No. 221

abc: 4.824 4.824 4.824
angles: 90.00 90.00 90.00
Fractional coordinates of all 5 atoms:
Ta 0.000 0.000 0.500
Ta 0.000 0.500 0.000
Ta 0.500 0.000 0.000
In 0.500 0.500 0.500
Rh 0.000 0.000 0.000

***

Record 3
Computed, not measured: LaEuAu2 after structural relaxation at the PBE-GGA level of DFT.

- total energy (eV/cell) = -74.07
- V (Å³/cell) = 363.7
- SG = R-3m, No. 166

abc: 4.394 4.394 21.753
angles: 90.00 90.00 120.00
Fractional coordinates of all 12 atoms:
La 0.000 0.000 0.000
La 0.333 0.667 0.667
La 0.667 0.333 0.333
Eu 0.000 0.000 0.500
Eu 0.333 0.667 0.167
Eu 0.667 0.333 0.833
Au 0.000 0.000 0.252
Au 0.000 0.000 0.748
Au 0.333 0.667 0.415
Au 0.333 0.667 0.919
Au 0.667 0.333 0.081
Au 0.667 0.333 0.585